The following is a PBE+U calculation of a relaxed NaMoPO2 crystal, from the Alexandria database.

Lattice parameters (Å, degrees): 3.917 3.917 4.963 90.00 90.00 90.00
Element x y z (fractional)
O 0.000 0.500 0.000
O 0.500 0.000 0.000
P 0.000 0.000 0.500
Mo 0.000 0.000 0.000
Na 0.500 0.500 0.500

Output
Density of states at the Fermi level   1.3 states/eV per cell
Energy   -5.5878 eV/atom
Calculated volume   76 Å³ per cell
Distance to the lowest polymorph of the same formula   0 meV per atom